Computed, not measured: crystalline CrTcPb2 at its relaxed geometry at the PBE level of DFT.

Energy = -0.4529 Ry per atom
Magnetization = 3.9 μB/cell
DFT formation energy = 0.69 eV per atom
Excess energy over the best structure of this formula in the dataset = 362 meV per atom

Cell lengths 3.4627, 3.4627, 6.7928 Å; angles 90.00, 90.00, 90.00 degrees
With the nearest neighbours (Å) after each atom.
Fractional coordinates of all 4 atoms:
1 Cr 0.5000 0.5000 0.7500  8 Pb 3.04, 2 Tc 3.40
2 Tc 0.5000 0.5000 0.2500  8 Pb 2.92
3 Pb 0.0000 0.0000 0.4852  4 Tc 2.92, 4 Cr 3.04, 1 Pb 3.20
4 Pb 0.0000 0.0000 0.0148  4 Tc 2.92, 4 Cr 3.04, 1 Pb 3.20